Record 1
A relaxed structure of Ca3EuSi, computed with PBE. Values from VASP.

Output
Size of the total moment   8.82 μB/f.u.
ΔE_f (raw)   -0.1122 eV/atom
Volume   195.4 Å³/cell
SG   No. 221
ρ   2.6 g cm⁻³

Cell and atoms, written as Quantum ESPRESSO input:
```
&SYSTEM
  ibrav = 0, nat = 5, ntyp = 3
/
ATOMIC_SPECIES
Ca 40.08 Ca.upf
Eu 151.96 Eu.upf
Si 28.09 Si.upf
CELL_PARAMETERS angstrom
5.803 0.000 0.000
0.000 5.803 0.000
0.000 0.000 5.803
ATOMIC_POSITIONS angstrom
Ca 0.000 0.000 2.901
Ca 0.000 2.901 0.000
Ca 2.901 0.000 0.000
Eu 2.901 2.901 2.901
Si 0.000 0.000 0.000
```

Record 2
A relaxed structure of CaNd2Zn, computed with PBE. Values from VASP.

Output
Size of the total moment   0.00 μB/f.u.
Volume   119.2 Å³/cell
SG   No. 225
Energy relative to the lowest polymorph listed for this composition   150 meV/atom
ρ   5.5 g cm⁻³
Formation energy from the elements   0.032 eV/atom

Cell and atoms, written as Quantum ESPRESSO input:
```
&SYSTEM
  ibrav = 0, nat = 4, ntyp = 3
/
ATOMIC_SPECIES
Ca 40.08 Ca.upf
Nd 144.24 Nd.upf
Zn 65.41 Zn.upf
CELL_PARAMETERS angstrom
0.000 3.906 3.906
3.906 0.000 3.906
3.906 3.906 0.000
ATOMIC_POSITIONS angstrom
Ca 0.000 0.000 0.000
Nd 1.953 1.953 1.953
Nd 5.860 5.860 5.860
Zn 3.906 3.906 3.906
```

Record 3
A relaxed structure of NpCd4, computed with PBE. Values from VASP.

Output
Size of the total moment   5.74 μB/f.u.
Volume   233.2 Å³/cell
SG   No. 221
ρ   4.9 g cm⁻³
Formation energy from the elements   1.087 eV/atom

Cell and atoms, written as Quantum ESPRESSO input:
```
&SYSTEM
  ibrav = 0, nat = 5, ntyp = 2
/
ATOMIC_SPECIES
Np 237.00 Np.upf
Cd 112.41 Cd.upf
CELL_PARAMETERS angstrom
6.155 0.000 0.000
0.000 6.155 0.000
0.000 0.000 6.155
ATOMIC_POSITIONS angstrom
Np 0.000 0.000 0.000
Cd 0.000 0.000 3.078
Cd 0.000 3.078 0.000
Cd 3.078 0.000 0.000
Cd 3.078 3.078 3.078
```

Record 4
A relaxed structure of CsLiIn3, computed with PBE. Values from VASP.

Output
Size of the total moment   0.00 μB/f.u.
Volume   167.2 Å³/cell
SG   No. 221
Energy relative to the lowest polymorph listed for this composition   0 meV/atom
ρ   4.8 g cm⁻³
Formation energy from the elements   0.063 eV/atom

Cell and atoms, written as Quantum ESPRESSO input:
```
&SYSTEM
  ibrav = 0, nat = 5, ntyp = 3
/
ATOMIC_SPECIES
Cs 132.91 Cs.upf
Li 6.94 Li.upf
In 114.82 In.upf
CELL_PARAMETERS angstrom
5.509 0.000 0.000
0.000 5.509 0.000
0.000 0.000 5.509
ATOMIC_POSITIONS angstrom
Cs 0.000 0.000 0.000
Li 2.755 2.755 2.755
In 0.000 2.755 2.755
In 2.755 0.000 2.755
In 2.755 2.755 0.000
```

Record 5
A relaxed structure of ReTc2W, computed with PBE. Values from VASP.

Output
Size of the total moment   0.00 μB/f.u.
Volume   68.4 Å³/cell
SG   No. 160
Energy relative to the lowest polymorph listed for this composition   342 meV/atom
ρ   13.7 g cm⁻³
Formation energy from the elements   0.456 eV/atom

Cell and atoms, written as Quantum ESPRESSO input:
```
&SYSTEM
  ibrav = 0, nat = 4, ntyp = 3
/
ATOMIC_SPECIES
Re 186.21 Re.upf
Tc 98.00 Tc.upf
W 183.84 W.upf
CELL_PARAMETERS angstrom
2.128 1.229 4.362
-2.128 1.229 4.362
0.000 -2.457 4.362
ATOMIC_POSITIONS angstrom
Re 0.000 0.000 0.000
Tc 0.000 0.000 5.304
Tc 0.000 0.000 7.842
W 0.000 0.000 2.537
```

Record 6
A relaxed structure of CsGe3P, computed with PBE. Values from VASP.

Output
Size of the total moment   0.00 μB/f.u.
Volume   136.0 Å³/cell
SG   No. 221
Energy relative to the lowest polymorph listed for this composition   0 meV/atom
ρ   4.7 g cm⁻³
Formation energy from the elements   0.563 eV/atom

Cell and atoms, written as Quantum ESPRESSO input:
```
&SYSTEM
  ibrav = 0, nat = 5, ntyp = 3
/
ATOMIC_SPECIES
Cs 132.91 Cs.upf
Ge 72.64 Ge.upf
P 30.97 P.upf
CELL_PARAMETERS angstrom
5.143 0.000 0.000
0.000 5.143 0.000
0.000 0.000 5.143
ATOMIC_POSITIONS angstrom
Cs 0.000 0.000 0.000
Ge 0.000 2.571 2.571
Ge 2.571 0.000 2.571
Ge 2.571 2.571 0.000
P 2.571 2.571 2.571
```

Record 7
A relaxed structure of La2Y4Tm3, computed with PBE. Values from VASP.

Output
Size of the total moment   0.00 μB/f.u.
Volume   586.5 Å³/cell
SG   No. 15
Energy relative to the lowest polymorph listed for this composition   0 meV/atom
ρ   6.5 g cm⁻³
Formation energy from the elements   0.096 eV/atom

Cell and atoms, written as Quantum ESPRESSO input:
```
&SYSTEM
  ibrav = 0, nat = 18, ntyp = 3
/
ATOMIC_SPECIES
La 138.91 La.upf
Y 88.91 Y.upf
Tm 168.93 Tm.upf
CELL_PARAMETERS angstrom
8.194 -5.847 0.000
8.194 5.847 0.000
-0.697 0.000 6.121
ATOMIC_POSITIONS angstrom
La 5.740 4.129 4.156
La 9.603 4.129 5.026
La 6.088 -4.129 1.095
La 9.952 -4.129 1.965
Y 2.966 1.593 5.190
Y 6.715 1.614 6.030
Y 3.315 -1.593 2.130
Y 8.628 1.614 3.151
Y 7.063 -1.614 2.970
Y 12.377 1.593 3.991
Y 8.977 -1.614 0.090
Y 12.725 -1.593 0.931
Tm 8.020 4.674 1.530
Tm 5.212 1.163 2.482
Tm 4.864 -1.163 5.542
Tm 10.828 1.163 0.579
Tm 10.479 -1.163 3.639
Tm 7.671 -4.674 4.591
```

Record 8
A relaxed structure of KInSe, computed with PBE. Values from VASP.

Output
Size of the total moment   0.00 μB/f.u.
ΔE_f (raw)   -0.7143 eV/atom
Volume   219.0 Å³/cell
SG   No. 12
Energy relative to the lowest polymorph listed for this composition   5 meV/atom
ρ   3.5 g cm⁻³

Cell and atoms, written as Quantum ESPRESSO input:
```
&SYSTEM
  ibrav = 0, nat = 6, ntyp = 3
/
ATOMIC_SPECIES
K 39.10 K.upf
In 114.82 In.upf
Se 78.96 Se.upf
CELL_PARAMETERS angstrom
7.060 -2.147 0.000
7.060 2.147 0.000
-3.029 0.000 7.223
ATOMIC_POSITIONS angstrom
K 0.701 0.000 2.192
K 10.390 0.000 5.032
In 4.914 0.000 0.992
In 6.178 0.000 6.231
Se 0.873 0.000 5.477
Se 10.219 0.000 1.746
```